Here is a relaxed structure of Sm3PdI3 from the Alexandria database. Energies are from PBE.

Cell and atoms, written as CIF:
```
data_Sm3PdI3
_cell_length_a 4.210
_cell_length_b 9.266
_cell_length_c 12.505
_cell_angle_alpha 92.07
_cell_angle_beta 90.00
_cell_angle_gamma 90.00
_symmetry_space_group_name_H-M 'P 1'
_symmetry_Int_Tables_number 1
loop_
_symmetry_equiv_pos_as_xyz
'x,y,z'
loop_
_atom_site_label
_atom_site_type_symbol
_atom_site_fract_x
_atom_site_fract_y
_atom_site_fract_z
I1 I 0.750 0.604 0.633
I2 I 0.250 0.857 0.888
I3 I 0.750 0.628 0.127
I4 I 0.250 0.396 0.367
I5 I 0.250 0.372 0.873
I6 I 0.750 0.143 0.112
Pd1 Pd 0.750 0.102 0.616
Pd2 Pd 0.250 0.898 0.384
Sm1 Sm 0.250 0.888 0.156
Sm2 Sm 0.750 0.112 0.844
Sm3 Sm 0.750 0.107 0.379
Sm4 Sm 0.750 0.694 0.382
Sm5 Sm 0.250 0.306 0.618
Sm6 Sm 0.250 0.893 0.621
```

Results
- volume (Å³ per atom) = 34.819
- raw formation energy (meV/atom) = -1050
- D(E_F) (states/eV per atom) = 0.882
- total energy (eV per atom) = -4.479
- magnetization (μB/atom) = 0.00